[1]
DFT (SCAN) results for KCrSb2 at its PBEsol-relaxed geometry.

abc: 6.552 9.345 3.254
angles: 90.00 90.00 90.00
Space group Cmmm (No. 65)
Inequivalent atoms, fractional coordinates:
K: 0.000 0.000 0.000 (multiplicity 2)
Cr: 0.000 0.500 0.000 (multiplicity 2)
Sb: 0.250 0.250 0.500 (multiplicity 4)

Output
Density   5.58 g/cm3
Magnetic moment   4.369 μB per formula unit
Uncorrected energy   -25.24 eV per atom
ΔE to the lowest computed polymorph   184 meV per atom

=====

[2]
DFT (SCAN) results for CoNiP2S6 at its PBEsol-relaxed geometry.

abc: 5.707 9.883 6.510
angles: 90.00 106.95 90.00
Space group C2 (No. 5)
Inequivalent atoms, fractional coordinates:
Co: 0.000 0.000 0.000 (multiplicity 2)
Ni: 0.000 0.667 0.000 (multiplicity 2)
P: 0.059 0.333 0.175 (multiplicity 4)
S: 0.220 0.839 0.229 (multiplicity 4)
S: 0.236 0.009 0.772 (multiplicity 4)
S: 0.246 0.152 0.228 (multiplicity 4)

Output
Density   3.52 g/cm3
Magnetic moment   1.000 μB per formula unit
Uncorrected energy   -11.57 eV per atom

=====

[3]
DFT (SCAN) results for CaZrHg2I at its PBEsol-relaxed geometry.

abc: 5.551 5.551 5.885
angles: 90.00 90.00 90.00
Space group P4/mmm (No. 123)
Inequivalent atoms, fractional coordinates:
Ca: 0.000 0.000 0.000 (multiplicity 1)
Zr: 0.000 0.000 0.500 (multiplicity 1)
Hg: 0.000 0.500 0.000 (multiplicity 2)
I: 0.500 0.500 0.500 (multiplicity 1)

Output
Density   6.04 g/cm3
Magnetic moment   3.946 μB per formula unit
Uncorrected energy   -42.05 eV per atom

=====

[4]
DFT (SCAN) results for POs2Br at its PBEsol-relaxed geometry.

abc: 3.667 3.667 8.703
angles: 90.00 90.00 90.00
Space group I-4m2 (No. 119)
Inequivalent atoms, fractional coordinates:
P: 0.000 0.000 0.000 (multiplicity 2)
Os: 0.000 0.000 0.500 (multiplicity 2)
Os: 0.000 0.500 0.750 (multiplicity 2)
Br: 0.000 0.500 0.250 (multiplicity 2)

Output
Density   13.94 g/cm3
Magnetic moment   0.000 μB per formula unit
Uncorrected energy   -41.88 eV per atom
ΔE to the lowest computed polymorph   1093 meV per atom

=====

[5]
DFT (SCAN) results for LiYTl2 at its PBEsol-relaxed geometry.

abc: 7.215 7.215 7.215
angles: 90.00 90.00 90.00
Space group Fm-3m (No. 225)
Inequivalent atoms, fractional coordinates:
Li: 0.000 0.000 0.000 (multiplicity 4)
Y: 0.000 0.000 0.500 (multiplicity 4)
Tl: 0.250 0.250 0.250 (multiplicity 8)

Output
Density   8.92 g/cm3
Magnetic moment   0.000 μB per formula unit
Uncorrected energy   -44.24 eV per atom
ΔE to the lowest computed polymorph   7 meV per atom
E_form   -0.505 eV/atom

=====

[6]
DFT (SCAN) results for GaSi2Ge at its PBEsol-relaxed geometry.

abc: 5.602 5.602 10.921
angles: 90.00 90.00 90.00
Space group I-42d (No. 122)
Inequivalent atoms, fractional coordinates:
Ga: 0.000 0.000 0.000 (multiplicity 4)
Si: 0.248 0.250 0.625 (multiplicity 8)
Ge: 0.000 0.000 0.500 (multiplicity 4)

Output
Density   3.85 g/cm3
Magnetic moment   0.000 μB per formula unit
Uncorrected energy   -13.67 eV per atom

=====

[7]
DFT (SCAN) results for KSbO3 at its PBEsol-relaxed geometry.

abc: 5.4154 5.4154 18.2454
angles: 90.00 90.00 120.00
Space group R-3 (No. 148, hexagonal axes)
Inequivalent atoms, fractional coordinates:
K: 0.0000 0.0000 0.1406 (multiplicity 6)
Sb: 0.0000 0.0000 0.3361 (multiplicity 6)
O: 0.0054 0.4012 0.9368 (multiplicity 18)

Output
Density   4.49 g/cm3
Magnetic moment   0.000 μB per formula unit
Uncorrected energy   -14.64 eV per atom

=====

[8]
DFT (SCAN) results for CaSe2Br at its PBEsol-relaxed geometry.

abc: 5.689 8.484 4.935
angles: 90.00 120.69 90.00
Space group C2/m (No. 12)
Inequivalent atoms, fractional coordinates:
Ca: 0.000 0.000 0.000 (multiplicity 2)
Se: 0.250 0.250 0.500 (multiplicity 4)
Br: 0.000 0.500 0.000 (multiplicity 2)

Output
Density   4.51 g/cm3
Magnetic moment   0.000 μB per formula unit
Uncorrected energy   -18.23 eV per atom
ΔE to the lowest computed polymorph   188 meV per atom

=====

[9]
DFT (SCAN) results for NbTeIrN2 at its PBEsol-relaxed geometry.

abc: 3.835 3.835 5.802
angles: 90.00 90.00 90.00
Space group P4/mmm (No. 123)
Inequivalent atoms, fractional coordinates:
Nb: 0.000 0.000 0.000 (multiplicity 1)
Te: 0.500 0.500 0.000 (multiplicity 1)
Ir: 0.500 0.500 0.500 (multiplicity 1)
N: 0.000 0.500 0.500 (multiplicity 2)

Output
Density   8.58 g/cm3
Magnetic moment   2.514 μB per formula unit
Uncorrected energy   -30.94 eV per atom

=====

[10]
DFT (SCAN) results for CsB3Cl at its PBEsol-relaxed geometry.

abc: 4.838 4.838 4.838
angles: 90.00 90.00 90.00
Space group Pm-3m (No. 221)
Inequivalent atoms, fractional coordinates:
Cs: 0.000 0.000 0.000 (multiplicity 1)
B: 0.000 0.500 0.500 (multiplicity 3)
Cl: 0.500 0.500 0.500 (multiplicity 1)

Output
Density   2.94 g/cm3
Magnetic moment   0.000 μB per formula unit
Uncorrected energy   -11.19 eV per atom

=====

[11]
DFT (SCAN) results for CsCaP2 at its PBEsol-relaxed geometry.

abc: 5.197 5.197 19.070
angles: 90.00 90.00 90.00
Space group I4_1/amd (No. 141, origin choice 2)
Inequivalent atoms, fractional coordinates:
Cs: 0.000 0.250 0.375 (multiplicity 4)
Ca: 0.000 0.250 0.875 (multiplicity 4)
P: 0.000 0.000 0.000 (multiplicity 8)

Output
Density   3.03 g/cm3
Magnetic moment   0.000 μB per formula unit
Uncorrected energy   -17.40 eV per atom
E_form   -0.330 eV/atom

=====

[12]
DFT (SCAN) results for MgMnOs at its PBEsol-relaxed geometry.

abc: 2.858 2.858 10.067
angles: 90.00 90.00 90.00
Space group I4mm (No. 107)
Inequivalent atoms, fractional coordinates:
Mg: 0.000 0.000 0.000 (multiplicity 2)
Mn: 0.000 0.000 0.677 (multiplicity 2)
Os: 0.000 0.000 0.312 (multiplicity 2)

Output
Density   10.89 g/cm3
Magnetic moment   1.339 μB per formula unit
Uncorrected energy   -31.60 eV per atom
E_form   0.106 eV/atom

=====

Question: Look up the density of the seventh one.
Answer: 4.49 g/cm3

=====

What did the fourth record say?
DFT (SCAN) results for POs2Br at its PBEsol-relaxed geometry.

abc: 3.667 3.667 8.703
angles: 90.00 90.00 90.00
Space group I-4m2 (No. 119)
Inequivalent atoms, fractional coordinates:
P: 0.000 0.000 0.000 (multiplicity 2)
Os: 0.000 0.000 0.500 (multiplicity 2)
Os: 0.000 0.500 0.750 (multiplicity 2)
Br: 0.000 0.500 0.250 (multiplicity 2)

Output
Density   13.94 g/cm3
Magnetic moment   0.000 μB per formula unit
Uncorrected energy   -41.88 eV per atom
ΔE to the lowest computed polymorph   1093 meV per atom

=====

Question: Number 10 is which compound?
Answer: CsB3Cl

=====

Question: Look up the magnetic moment of the second one.
Answer: 1.000 μB per formula unit